This record from Alexandria via LeMat-Bulk describes a geometry-optimized CaNd2Pb structure. The functional is PBE.

```
data_CaNd2Pb
_chemical_formula_sum 'Ca4 Nd8 Pb4'
_space_group_name_H-M_alt 'F m -3 m'
_space_group_IT_number 225
_space_group_name_Hall '-F 4 2 3'
_cell_length_a 8.000
_cell_length_b 8.000
_cell_length_c 8.000
_cell_angle_alpha 90.00
_cell_angle_beta 90.00
_cell_angle_gamma 90.00
loop_
_atom_site_label
_atom_site_fract_x
_atom_site_fract_y
_atom_site_fract_z
_atom_site_occupancy
Ca1 0.000 0.000 0.000 1
Nd1 0.250 0.250 0.250 1
Pb1 0.000 0.000 0.500 1
```

## Properties
Formation energy from the elements: -18.23 kJ per mole of atoms
Calculated total energy: -16.00 eV per formula unit
Fermi-level density of states: 5.4 states/eV/f.u.

---

This record from Alexandria via LeMat-Bulk describes a geometry-optimized CaLu2Ga structure. The functional is PBE.

```
data_CaLu2Ga
_chemical_formula_sum 'Ca1 Lu2 Ga1'
_space_group_name_H-M_alt 'P 4/m m m'
_space_group_IT_number 123
_space_group_name_Hall '-P 4 2'
_cell_length_a 3.514
_cell_length_b 3.514
_cell_length_c 9.110
_cell_angle_alpha 90.00
_cell_angle_beta 90.00
_cell_angle_gamma 90.00
loop_
_atom_site_label
_atom_site_fract_x
_atom_site_fract_y
_atom_site_fract_z
_atom_site_occupancy
Ca1 0.000 0.000 0.000 1
Lu1 0.500 0.500 0.310 1
Ga1 0.000 0.000 0.500 1
```

## Properties
Formation energy from the elements: -21.89 kJ per mole of atoms
Calculated total energy: -14.98 eV per formula unit
Fermi-level density of states: 3.2 states/eV/f.u.

---

This record from Alexandria via LeMat-Bulk describes a geometry-optimized MgZn2Pb structure. The functional is PBE.

```
data_MgZn2Pb
_chemical_formula_sum 'Mg3 Zn6 Pb3'
_space_group_name_H-M_alt 'R 3 m'
_space_group_IT_number 160
_space_group_name_Hall 'R 3 -2"'
_cell_length_a 3.2796
_cell_length_b 3.2796
_cell_length_c 28.3858
_cell_angle_alpha 90.00
_cell_angle_beta 90.00
_cell_angle_gamma 120.00
loop_
_atom_site_label
_atom_site_fract_x
_atom_site_fract_y
_atom_site_fract_z
_atom_site_occupancy
Mg1 0.0000 0.0000 0.0000 1
Zn1 0.0000 0.0000 0.4733 1
Zn2 0.0000 0.0000 0.7419 1
Pb1 0.0000 0.0000 0.2334 1
```

## Properties
Formation energy from the elements: 7.69 kJ per mole of atoms
Calculated total energy: -7.53 eV per formula unit
Fermi-level density of states: 0.9 states/eV/f.u.